{"formula": "Ba2LaTl", "functional": "PBE", "state": "optimized geometry", "lattice_angstrom": [[-3.2837, 3.8213, -0.7326], [-3.2038, -2.1115, 3.3465], [2.3419, 7.4814, 10.8357]], "species": ["Tl", "Tl", "Ba", "Ba", "Ba", "Ba", "La", "La"], "frac_coords": [[0.0000, 0.0000, 0.0000], [0.7500, 0.2500, 0.5000], [0.6432, 0.1250, 0.2500], [0.1068, 0.6250, 0.2500], [0.3750, 0.3568, 0.7500], [0.8750, 0.8932, 0.7500], [0.5000, 0.5000, 0.0000], [0.2500, 0.7500, 0.5000]], "de_polymorph_mev_per_atom": 382.1, "crystal_system": "tetragonal"}


{"formula": "BaLaTl", "functional": "PBE", "state": "optimized geometry", "lattice_angstrom": [[5.6492, -0.0204, -0.0026], [-2.8006, 6.4449, 0.0838], [0.0222, 5.4908, 6.4023]], "species": ["Tl", "Tl", "Ba", "Ba", "La", "La"], "frac_coords": [[0.2393, 0.7063, 0.4973], [0.2349, 0.6972, 0.9187], [0.9340, 0.0951, 0.5537], [0.8827, 0.9930, 0.1097], [0.5692, 0.3659, 0.7277], [0.5747, 0.3766, 0.1837]], "de_polymorph_mev_per_atom": 144.8, "crystal_system": "monoclinic"}


{"formula": "BaLa5Tl6", "functional": "PBE", "state": "optimized geometry", "lattice_angstrom": [[-4.0523, 0.1044, -4.0437], [4.7213, -4.2569, -4.8411], [-1.2973, -7.3338, 5.1831]], "species": ["Tl", "Tl", "Tl", "Tl", "Tl", "Tl", "Ba", "La", "La", "La", "La", "La"], "frac_coords": [[0.8411, 0.7437, 0.6570], [0.8411, 0.2563, 0.6570], [0.5000, 0.2625, 0.0000], [0.5000, 0.7375, 0.0000], [0.1589, 0.7437, 0.3430], [0.1589, 0.2563, 0.3430], [0.0000, 0.0000, 0.0000], [0.6544, 0.5000, 0.3283], [0.3427, 0.0000, 0.6682], [0.0000, 0.5000, 0.0000], [0.6573, 0.0000, 0.3318], [0.3456, 0.5000, 0.6717]], "crystal_system": "monoclinic"}


Results for formation energy from the elements: 0.1228, -0.1536, -0.3934 (in eV per atom, following the order of the records).
Results for Fermi-level density of states: 4.3, 4.1, 14.5 (in states/eV/cell, following the order of the records).